Fe3TcO, optimized geometry, DFT PBE with a Hubbard U; E = -0.161 Ha/atom; magnetic moment = 12.9 μB per cell; N(E_F) = 1.35 states/eV per atom
1.0
4.721 0.000 0.000
0.000 4.721 0.000
0.000 0.000 4.721
Fe O Tc
3 1 1
Direct
0.000 0.500 0.000
0.000 0.000 0.500
0.500 0.000 0.000
0.500 0.500 0.500
0.000 0.000 0.000